No. 1
Entry from Alexandria via LeMat-Bulk: Li2AcGe after structural relaxation (PBE).

Final energy: -3.518 eV per atom
Space group: No. 160
Size of the total moment: 0.8 μB per formula unit

abc: 4.575 4.575 5.966
angles: 67.45 67.45 60.01
Site moments in Bohr magnetons follow the coordinates.
Element x y z (fractional)
Ac  0.492  0.492  0.525  0.16
Ge  0.700  0.700  0.900  0.00
Li  0.010  0.010  0.971  0.02
Li  0.299  0.299  0.104  0.04



No. 2
Entry from Alexandria via LeMat-Bulk: Li2AcGe3 after structural relaxation (PBE).

Final energy: -4.047 eV per atom
Space group: No. 63
Size of the total moment: 0.0 μB per formula unit

abc: 5.916 6.596 6.596
angles: 104.00 90.00 90.00
Element x y z (fractional)
Ge  0.750  0.467  0.104
Li  0.500  0.794  0.206
Li  0.000  0.794  0.206
Ge  0.250  0.533  0.896
Li  0.500  0.206  0.794
Ac  0.250  0.330  0.330
Ge  0.250  0.921  0.921
Li  0.000  0.206  0.794
Ge  0.750  0.104  0.467
Ac  0.750  0.670  0.670
Ge  0.750  0.079  0.079
Ge  0.250  0.896  0.533



No. 3
Entry from Alexandria via LeMat-Bulk: Li2Ac3Ge9 after structural relaxation (PBE).

Final energy: -4.513 eV per atom
Space group: No. 71
Size of the total moment: 0.0 μB per formula unit

abc: 4.609 8.719 8.719
angles: 73.48 74.68 74.68
Element x y z (fractional)
Ac  0.696  0.304  0.304
Ge  0.000  0.500  0.500
Li  0.500  0.697  0.303
Ac  0.304  0.696  0.696
Ge  0.658  0.690  0.995
Li  0.500  0.303  0.697
Ge  0.658  0.995  0.690
Ge  0.862  0.858  0.418
Ge  0.862  0.418  0.858
Ge  0.138  0.582  0.142
Ge  0.138  0.142  0.582
Ac  0.000  0.000  0.000
Ge  0.342  0.310  0.005
Ge  0.342  0.005  0.310



No. 4
Entry from Alexandria via LeMat-Bulk: Li4Ac3Ge4 after structural relaxation (PBE).

Final energy: -4.053 eV per atom
Space group: No. 71
Size of the total moment: 0.0 μB per formula unit

abc: 4.527 4.467 13.349
angles: 99.63 99.76 90.00
Element x y z (fractional)
Ge  0.195  0.695  0.390
Li  0.250  0.250  0.500
Ac  0.346  0.846  0.693
Ge  0.805  0.305  0.610
Ge  0.550  0.550  0.100
Ac  0.000  0.000  0.000
Li  0.750  0.750  0.500
Ac  0.654  0.154  0.307
Li  0.902  0.402  0.804
Ge  0.450  0.450  0.900
Li  0.098  0.598  0.196



Number 1: N(E_F) 0.3326 states/eV per atom. Number 2: N(E_F) 0.4206 states/eV per atom. Number 3: N(E_F) 0.4003 states/eV per atom. Number 4: N(E_F) 0.5588 states/eV per atom.